Entry from Alexandria: a relaxed Cs2Y2Sc crystal (GGA-PBE).

Volume, A^3/atom: 52.24
Total magnetic moment, μB per formula unit: 0.91
Energy above the most stable polymorph in this dataset, meV/atom: 0
SG: No. 139
Total energy, eV for the cell shown: -16.31

Cell: 13.1681 13.1681 13.1681 Å, 160.23 160.23 28.11°
Sites, in units of the cell vectors:
Cs1 0.1040 0.1040 0.0000
Cs2 0.8960 0.8960 0.0000
Y1 0.2500 0.7500 0.5000
Y2 0.7500 0.2500 0.5000
Sc1 0.5000 0.5000 0.0000


Entry from Alexandria: a relaxed MgAgPb2 crystal (GGA-PBE).

Volume, A^3/atom: 25.98
Total magnetic moment, μB per formula unit: 0.00
SG: No. 71
Total energy, eV for the cell shown: -11.61

Cell: 6.0201 6.0201 6.0201 Å, 143.97 124.72 67.77°
Sites, in units of the cell vectors:
Mg1 0.0000 0.0000 0.0000
Ag1 0.5000 0.5000 0.0000
Pb1 0.2607 0.7607 0.5000
Pb2 0.7393 0.2393 0.5000